DFT (PBE-GGA) results for a geometry-optimized Ag3Sn3Se8 structure.

```
14
Lattice="6.9978 0.0122 4.0378 2.3377 6.5958 4.0378 0.0172 0.0122 8.0791" Properties=species:S:1:pos:R:3 pbc="T T T"
Ag 3.6200 2.5624 6.2528
Ag 5.7327 4.0578 9.9020
Ag 0.0000 0.0000 0.0000
Sn 3.4989 0.0061 2.0189
Sn 1.1688 3.2979 2.0189
Sn 0.0086 0.0061 4.0396
Se 7.0450 4.9867 12.1688
Se 3.3266 5.0224 10.0918
Se 5.8426 1.4679 10.0918
Se 7.0954 5.0224 7.9099
Se 2.3077 1.6334 3.9860
Se 6.0261 1.5978 6.0629
Se 3.5101 5.1523 6.0629
Se 2.2573 1.5978 8.2449
```

## Properties
volume	372.0	Å³/f.u.
E_form (uncorrected)	-321	kJ/mol of formula units

DFT (PBE-GGA) results for a geometry-optimized Ag4Sn3Se8 structure.

```
15
Lattice="7.0644 0.0000 3.8100 2.5048 6.6054 3.8100 0.0790 0.0545 8.3079" Properties=species:S:1:pos:R:3 pbc="T T T"
Ag 0.0000 0.0000 0.0000
Ag 3.5762 2.4685 10.2778
Ag 4.8241 3.3300 7.9639
Ag 6.0720 4.1914 5.6500
Sn 3.5717 0.0273 6.0589
Sn 0.0395 0.0273 4.1539
Sn 1.2919 3.3300 6.0589
Se 2.3398 1.6151 4.1158
Se 3.4877 5.0051 5.9383
Se 7.2508 5.0051 7.9678
Se 5.9165 1.4865 5.9383
Se 7.3083 5.0448 11.8120
Se 6.1604 1.6548 9.9895
Se 2.3973 1.6548 7.9600
Se 3.7316 5.1734 9.9895
```

## Properties
volume	384.7	Å³/f.u.
E_form (uncorrected)	-330	kJ/mol of formula units

DFT (PBE-GGA) results for a geometry-optimized AgSn6Se8 structure.

```
15
Lattice="-1.6350 -1.5844 5.0971 -8.2067 -3.2390 -3.6392 7.5590 -5.7928 0.6240" Properties=species:S:1:pos:R:3 pbc="T T T"
Ag -0.8175 -0.7922 2.5485
Sn -6.2107 -3.7894 1.2422
Sn -4.1801 -7.6553 0.6919
Sn -2.0033 -4.2562 2.4467
Sn 3.9281 -6.8268 0.8397
Sn 1.8974 -2.9609 1.3900
Sn -0.2794 -6.3599 -0.3648
Se 0.7062 -2.7761 3.9156
Se -1.5940 -7.8616 1.5970
Se 4.1473 -7.7258 3.4809
Se -2.9889 -7.8401 -1.8337
Se -0.6887 -2.7546 0.4849
Se -6.4300 -2.8904 -1.3989
Se 1.5249 -5.6963 1.6309
Se -3.8076 -4.9199 0.4510
```

## Properties
volume	440.4	Å³/f.u.
E_form (uncorrected)	-358	kJ/mol of formula units
energy relative to the lowest polymorph listed for this composition	0.0000	eV per atom

DFT (PBE-GGA) results for a geometry-optimized AgSn3Se3 structure.

```
14
Lattice="5.9902 0.0000 0.0000 0.0000 8.8611 0.0000 0.0000 -4.4305 7.6740" Properties=species:S:1:pos:R:3 pbc="T T T"
Ag 1.4976 4.4306 2.5580
Ag 4.4927 0.0000 5.1160
Sn 4.4927 4.3749 4.6106
Sn 4.4927 2.6808 1.4834
Sn 4.4927 6.2360 1.5799
Sn 1.4976 0.0557 3.0633
Sn 1.4976 1.7498 6.1905
Sn 1.4976 -1.8055 6.0940
Se 1.4976 4.3820 5.1658
Se 1.4976 2.1964 1.2120
Se 1.4976 6.7133 1.2961
Se 4.4927 0.0486 2.5081
Se 4.4927 2.2342 6.4620
Se 4.4927 -2.2828 6.3778
```

## Properties
volume	203.7	Å³/f.u.
E_form (uncorrected)	-159	kJ/mol of formula units

DFT (PBE-GGA) results for a geometry-optimized Ag3SnSe3 structure.

```
28
Lattice="9.3349 0.0000 0.0000 0.0000 6.6642 -0.6830 0.0000 -0.4373 11.1057" Properties=species:S:1:pos:R:3 pbc="T T T"
Ag 7.8338 -0.3862 9.9985
Ag 6.1686 -0.1675 4.4456
Ag 1.8761 4.2295 7.4769
Ag 6.5451 3.9754 5.2082
Ag 2.7914 4.4481 1.9241
Ag 7.4573 4.1941 -0.3446
Ag 1.8776 2.0329 10.7673
Ag 6.5435 1.7789 8.4986
Ag 2.7899 2.2515 5.2145
Ag 7.4589 1.9975 2.9458
Ag 3.1663 6.3945 5.9771
Ag 1.5012 6.6131 0.4242
Sn 4.0599 5.2465 8.8667
Sn 0.6076 5.4652 3.3139
Sn 8.7274 0.7618 7.1089
Sn 5.2751 0.9804 1.5560
Se 9.1796 4.8101 5.8400
Se 4.8228 5.0287 0.2872
Se 0.6860 4.3592 9.9779
Se 3.9814 4.5778 4.4251
Se 6.5003 4.4828 8.0516
Se 7.5022 4.7014 2.4988
Se 1.8328 1.5255 7.9239
Se 2.8347 1.7441 2.3711
Se 5.3535 1.6492 5.9976
Se 8.6489 1.8678 0.4448
Se 4.5122 1.1982 10.1355
Se 0.1553 1.4168 4.5827
```

## Properties
volume	172.0	Å³/f.u.
E_form (uncorrected)	-75	kJ/mol of formula units
energy relative to the lowest polymorph listed for this composition	0.0333	eV per atom

DFT (PBE-GGA) results for a geometry-optimized Ag5SnSe4 structure.

```
10
Lattice="4.1496 0.0000 0.0000 0.0000 7.7620 -0.9042 -2.0748 -3.0211 7.8308" Properties=species:S:1:pos:R:3 pbc="T T T"
Ag 0.0000 2.1824 2.4595
Ag 0.0000 6.2053 1.9907
Ag 2.0748 -1.4645 4.9359
Ag 2.0748 3.8810 -0.4521
Ag 2.0748 2.5584 4.4671
Sn 2.0748 0.0000 0.0000
Se 2.0748 0.3436 2.9499
Se 0.0000 2.1047 -0.2450
Se 0.0000 4.3972 3.9768
Se 2.0748 2.6362 7.1716
```

## Properties
volume	240.9	Å³/f.u.
E_form (uncorrected)	-105	kJ/mol of formula units

DFT (PBE-GGA) results for a geometry-optimized Ag2Sn2Se structure.

```
5
Lattice="-1.9170 -3.1222 -2.4304 3.2303 -2.7945 1.0421 -2.6776 -4.9011 4.4316" Properties=species:S:1:pos:R:3 pbc="T T T"
Se 0.0000 0.0000 0.0000
Sn -1.9690 -5.4908 0.6535
Sn 0.6047 -5.3270 2.3897
Ag -0.0323 -3.3598 0.3650
Ag -1.3320 -7.4580 2.6783
```

## Properties
volume	124.0	Å³/f.u.
E_form (uncorrected)	113	kJ/mol of formula units
energy relative to the lowest polymorph listed for this composition	0.1811	eV per atom

DFT (PBE-GGA) results for a geometry-optimized Ag2Sn2Se3 structure.

```
14
Lattice="-6.1353 -3.5961 1.4937 3.1401 -0.7275 -7.0063 4.3222 -6.2978 2.5911" Properties=species:S:1:pos:R:3 pbc="T T T"
Ag 1.8944 -7.7496 0.7507
Ag 3.6140 -3.9873 -0.8043
Ag -2.2869 -6.6341 -2.1173
Ag -0.5674 -2.8718 -3.6723
Sn 1.2327 -7.0631 -2.4074
Sn 4.9941 -6.2758 -2.7384
Sn -3.6671 -4.3456 -0.1832
Sn 0.0943 -3.5584 -0.5142
Se 2.1611 -3.1489 1.2955
Se -3.0676 -1.7980 0.7468
Se -2.8653 -4.0619 -2.9030
Se -0.2824 -6.3074 -0.1152
Se 1.6094 -4.3140 -2.8063
Se 4.1923 -6.5595 -0.0186
```

## Properties
volume	197.8	Å³/f.u.
E_form (uncorrected)	-121	kJ/mol of formula units